Below is Ac8Zn2Rh after structural relaxation, with properties calculated at the PBE level. Values from VASP.

Geometry as Quantum ESPRESSO input:
```
&SYSTEM
  ibrav = 0, nat = 11, ntyp = 3
/
ATOMIC_SPECIES
Ac 227.00 Ac.upf
Zn 65.41 Zn.upf
Rh 102.91 Rh.upf
CELL_PARAMETERS angstrom
4.890 0.000 0.000
0.000 8.235 1.251
-2.445 -1.914 9.905
ATOMIC_POSITIONS crystal
Ac 0.401 0.501 0.802
Ac 0.643 0.996 0.287
Ac 0.775 0.681 0.550
Ac 0.996 0.223 0.992
Ac 0.225 0.319 0.450
Ac 0.357 0.004 0.713
Ac 0.599 0.499 0.198
Ac 0.004 0.777 0.008
Zn 0.828 0.275 0.655
Zn 0.172 0.725 0.345
Rh 0.500 0.000 0.000
```

Output
**E**: -4.058 eV/atom
**Magnetic moment**: 0.000 μB/atom
**Mass density**: 8.29 g cm⁻³
**ΔE_f**: -0.17 eV/atom